The following is a DFT calculation (PBE) of a relaxed Fe2HPdCl crystal.

POSCAR file:
```
Fe2HPdCl
1.0
4.3289 0.0000 0.0000
0.0000 4.3289 0.0000
0.0000 0.0000 3.4428
Fe H Pd Cl
2 1 1 1
Direct
0.0000 0.5000 0.0000
0.5000 0.0000 0.0000
0.0000 0.0000 0.0000
0.0000 0.0000 0.5000
0.5000 0.5000 0.5000
```

## Properties
size of the total moment	1.2463	μB per atom
uncorrected energy	-5.092	eV/atom
V	65	Å³ per cell

***

The following is a DFT calculation (PBE) of a relaxed LiAl4Tc crystal.

POSCAR file:
```
LiAl4Tc
1.0
4.2932 0.0000 0.0000
0.0000 4.2932 0.0000
0.0000 0.0000 5.8325
Li Al Tc
1 4 1
Direct
0.0000 0.0000 0.0000
0.0000 0.5000 0.2598
0.0000 0.5000 0.7402
0.5000 0.0000 0.2598
0.5000 0.0000 0.7402
0.5000 0.5000 0.5000
```

## Properties
energy relative to the elements	62.3	meV per atom
size of the total moment	0.0000	μB per atom
V	108	Å³ per cell

***

The following is a DFT calculation (PBE) of a relaxed La5Sm3Y2 crystal.

POSCAR file:
```
La5Sm3Y2
1.0
5.4895 -7.4434 0.0000
5.4895 7.4434 0.0000
-5.4805 0.0000 8.7397
La Sm Y
10 6 4
Direct
0.0216 0.9784 0.7500
0.1315 0.3762 0.7552
0.2309 0.7691 0.7500
0.2744 0.7256 0.2500
0.3762 0.1315 0.2552
0.6238 0.8685 0.7448
0.7256 0.2744 0.7500
0.7691 0.2309 0.2500
0.8685 0.6238 0.2448
0.9784 0.0216 0.2500
0.0297 0.2790 0.0592
0.2790 0.0297 0.5592
0.4817 0.5183 0.2500
0.5183 0.4817 0.7500
0.7210 0.9703 0.4408
0.9703 0.7210 0.9408
0.2231 0.4669 0.4395
0.4669 0.2231 0.9395
0.5331 0.7769 0.0605
0.7769 0.5331 0.5605
```

## Properties
energy relative to the elements	149.7	meV per atom
size of the total moment	0.0000	μB per atom
V	714	Å³ per cell

***

The following is a DFT calculation (PBE) of a relaxed LaCd6Au2 crystal.

POSCAR file:
```
LaCd6Au2
1.0
4.3293 0.0000 0.0000
0.0000 4.3293 0.0000
0.0000 0.0000 11.2071
La Cd Au
1 6 2
Direct
0.0000 0.0000 0.0000
0.0000 0.0000 0.5000
0.0000 0.5000 0.2896
0.0000 0.5000 0.7104
0.5000 0.0000 0.2896
0.5000 0.0000 0.7104
0.5000 0.5000 0.5000
0.5000 0.5000 0.1209
0.5000 0.5000 0.8791
```

## Properties
energy relative to the elements	-298.9	meV per atom
size of the total moment	0.0000	μB per atom
V	210	Å³ per cell

***

The following is a DFT calculation (PBE) of a relaxed CeTmZnN3 crystal.

POSCAR file:
```
CeTmZnN3
1.0
7.1724 0.0000 0.0000
0.0000 3.3842 0.0000
-1.1573 0.0000 7.1743
Ce Tm Zn N
2 2 2 6
Direct
0.2003 0.2500 0.1839
0.7997 0.7500 0.8161
0.1682 0.2500 0.6443
0.8318 0.7500 0.3557
0.4031 0.7500 0.8954
0.5969 0.2500 0.1046
0.1233 0.7500 0.8660
0.1513 0.7500 0.4079
0.4737 0.7500 0.1915
0.5263 0.2500 0.8085
0.8487 0.2500 0.5921
0.8767 0.2500 0.1340
```

## Properties
formation energy (no corrections)	-0.9716	eV/atom
size of the total moment	0.0000	μB per atom
V	174	Å³ per cell

***

The following is a DFT calculation (PBE) of a relaxed Ce6ThIn crystal.

POSCAR file:
```
Ce6ThIn
1.0
4.7994 0.0000 0.0000
0.0000 4.7994 0.0000
0.0000 0.0000 9.7132
Ce Th In
6 1 1
Direct
0.0000 0.0000 0.0000
0.0000 0.0000 0.5000
0.0000 0.5000 0.2490
0.0000 0.5000 0.7510
0.5000 0.0000 0.2490
0.5000 0.0000 0.7510
0.5000 0.5000 0.5000
0.5000 0.5000 0.0000
```

## Properties
energy relative to the elements	-74.4	meV per atom
size of the total moment	0.4418	μB per atom
V	224	Å³ per cell

***

The following is a DFT calculation (PBE) of a relaxed Zr2TaRu crystal.

POSCAR file:
```
Zr2TaRu
1.0
3.0789 0.0000 0.0000
0.0000 4.5590 0.0000
-1.3432 0.0000 5.3851
Zr Ta Ru
2 1 1
Direct
0.2148 0.0000 0.2590
0.7852 0.0000 0.7410
0.5000 0.5000 0.0000
0.0000 0.5000 0.5000
```

## Properties
energy relative to the elements	-83.6	meV per atom
size of the total moment	0.0000	μB per atom
V	76	Å³ per cell

***

The following is a DFT calculation (PBE) of a relaxed BeRh2Se crystal.

POSCAR file:
```
BeRh2Se
1.0
2.9860 0.0000 0.0000
0.0000 3.5045 0.0000
0.0000 0.0000 5.3331
Be Rh Se
1 2 1
Direct
0.0000 0.0000 0.0000
0.0000 0.0000 0.4391
0.5000 0.5000 0.0976
0.5000 0.5000 0.6367
```

## Properties
formation energy (no corrections)	-0.1672	eV/atom
size of the total moment	0.0000	μB per atom
V	56	Å³ per cell

***

Copy entry 6 word for word.
The following is a DFT calculation (PBE) of a relaxed Ce6ThIn crystal.

POSCAR file:
```
Ce6ThIn
1.0
4.7994 0.0000 0.0000
0.0000 4.7994 0.0000
0.0000 0.0000 9.7132
Ce Th In
6 1 1
Direct
0.0000 0.0000 0.0000
0.0000 0.0000 0.5000
0.0000 0.5000 0.2490
0.0000 0.5000 0.7510
0.5000 0.0000 0.2490
0.5000 0.0000 0.7510
0.5000 0.5000 0.5000
0.5000 0.5000 0.0000
```

## Properties
energy relative to the elements	-74.4	meV per atom
size of the total moment	0.4418	μB per atom
V	224	Å³ per cell

***

Q: What is the V in the seventh record?
A: 76 Å³ per cell

***

Repeat the fifth record exactly.
The following is a DFT calculation (PBE) of a relaxed CeTmZnN3 crystal.

POSCAR file:
```
CeTmZnN3
1.0
7.1724 0.0000 0.0000
0.0000 3.3842 0.0000
-1.1573 0.0000 7.1743
Ce Tm Zn N
2 2 2 6
Direct
0.2003 0.2500 0.1839
0.7997 0.7500 0.8161
0.1682 0.2500 0.6443
0.8318 0.7500 0.3557
0.4031 0.7500 0.8954
0.5969 0.2500 0.1046
0.1233 0.7500 0.8660
0.1513 0.7500 0.4079
0.4737 0.7500 0.1915
0.5263 0.2500 0.8085
0.8487 0.2500 0.5921
0.8767 0.2500 0.1340
```

## Properties
formation energy (no corrections)	-0.9716	eV/atom
size of the total moment	0.0000	μB per atom
V	174	Å³ per cell

***

Q: What is the formula in the eighth record?
A: BeRh2Se